Entry one
The following is a PBE calculation of an optimized crystal structure of TlW2Br, from Alexandria via LeMat-Bulk. Values from VASP.

Structure (Quantum ESPRESSO input):
```
&SYSTEM
  ibrav = 0, nat = 4, ntyp = 3
/
ATOMIC_SPECIES
Tl 204.38 Tl.upf
W 183.84 W.upf
Br 79.90 Br.upf
ATOMIC_POSITIONS crystal
Tl 0.000 0.000 0.000
W 0.000 0.500 0.500
W 0.500 0.000 0.500
Br 0.500 0.500 0.000
CELL_PARAMETERS angstrom
4.093 0.000 0.000
0.000 4.093 0.000
0.000 0.000 4.706
```

Computed properties:
crystal system = tetragonal
density = 13.7 g cm⁻³
total magnetic moment = 0.00 μB/f.u.

---

Entry two
The following is a PBE calculation of an optimized crystal structure of TlW2Br, from Alexandria via LeMat-Bulk. Values from VASP.

Structure (Quantum ESPRESSO input):
```
&SYSTEM
  ibrav = 0, nat = 8, ntyp = 3
/
ATOMIC_SPECIES
Tl 204.38 Tl.upf
W 183.84 W.upf
Br 79.90 Br.upf
ATOMIC_POSITIONS crystal
Tl 0.000 0.000 0.000
Tl 0.500 0.500 0.000
W 0.000 0.500 0.260
W 0.000 0.500 0.740
W 0.500 0.000 0.260
W 0.500 0.000 0.740
Br 0.000 0.000 0.500
Br 0.500 0.500 0.500
CELL_PARAMETERS angstrom
2.909 0.000 0.000
0.000 5.472 0.000
0.000 0.000 9.755
```

Computed properties:
crystal system = orthorhombic
density = 13.9 g cm⁻³
total magnetic moment = 0.00 μB/f.u.

---

Entry three
The following is a PBE calculation of an optimized crystal structure of TlW2Br, from Alexandria via LeMat-Bulk. Values from VASP.

Structure (Quantum ESPRESSO input):
```
&SYSTEM
  ibrav = 0, nat = 8, ntyp = 3
/
ATOMIC_SPECIES
Tl 204.38 Tl.upf
W 183.84 W.upf
Br 79.90 Br.upf
ATOMIC_POSITIONS crystal
Tl 0.000 0.000 0.000
Tl 0.500 0.500 0.000
W 0.120 0.500 0.601
W 0.245 0.000 0.952
W 0.620 0.000 0.601
W 0.745 0.500 0.952
Br 0.366 0.500 0.395
Br 0.866 0.000 0.395
CELL_PARAMETERS angstrom
10.933 0.000 0.000
0.000 3.151 0.000
-4.180 0.000 5.365
```

Computed properties:
crystal system = monoclinic
density = 11.7 g cm⁻³
total magnetic moment = 0.00 μB/f.u.

---

Entry four
The following is a PBE calculation of an optimized crystal structure of TlW2Br, from Alexandria via LeMat-Bulk. Values from VASP.

Structure (Quantum ESPRESSO input):
```
&SYSTEM
  ibrav = 0, nat = 4, ntyp = 3
/
ATOMIC_SPECIES
Tl 204.38 Tl.upf
W 183.84 W.upf
Br 79.90 Br.upf
ATOMIC_POSITIONS crystal
Tl 0.000 0.000 0.000
W 0.500 0.500 0.282
W 0.500 0.500 0.718
Br 0.000 0.000 0.500
CELL_PARAMETERS angstrom
3.233 0.000 0.000
0.000 3.233 0.000
0.000 0.000 6.865
```

Computed properties:
crystal system = tetragonal
density = 15.1 g cm⁻³
total magnetic moment = 0.00 μB/f.u.

---

The most stable of them is entry three.

---

Entry one
The following is a PBE calculation of an optimized crystal structure of Tl2WBr6, from Alexandria via LeMat-Bulk. Values from VASP.

Structure (Quantum ESPRESSO input):
```
&SYSTEM
  ibrav = 0, nat = 9, ntyp = 3
/
ATOMIC_SPECIES
Tl 204.38 Tl.upf
W 183.84 W.upf
Br 79.90 Br.upf
ATOMIC_POSITIONS crystal
Tl 0.170 0.170 0.157
Tl 0.830 0.830 0.843
W 0.500 0.500 0.000
Br 0.178 0.662 0.221
Br 0.337 0.337 0.774
Br 0.338 0.822 0.779
Br 0.662 0.178 0.221
Br 0.663 0.663 0.226
Br 0.822 0.338 0.779
CELL_PARAMETERS angstrom
6.431 -3.722 0.000
6.431 3.722 0.000
-0.129 0.000 6.595
```

Computed properties:
crystal system = monoclinic
density = 5.6 g cm⁻³
total magnetic moment = 2.00 μB/f.u.

---

Entry two
The following is a PBE calculation of an optimized crystal structure of Tl2WBr6, from Alexandria via LeMat-Bulk. Values from VASP.

Structure (Quantum ESPRESSO input):
```
&SYSTEM
  ibrav = 0, nat = 18, ntyp = 3
/
ATOMIC_SPECIES
Tl 204.38 Tl.upf
W 183.84 W.upf
Br 79.90 Br.upf
ATOMIC_POSITIONS crystal
Tl 0.230 0.074 0.248
Tl 0.230 0.426 0.748
Tl 0.770 0.574 0.252
Tl 0.770 0.926 0.752
W 0.500 0.000 0.000
W 0.500 0.500 0.500
Br 0.187 0.184 0.965
Br 0.187 0.316 0.465
Br 0.280 0.732 0.967
Br 0.280 0.768 0.467
Br 0.331 0.010 0.761
Br 0.331 0.490 0.261
Br 0.669 0.510 0.739
Br 0.669 0.990 0.239
Br 0.720 0.232 0.533
Br 0.720 0.268 0.033
Br 0.813 0.684 0.535
Br 0.813 0.816 0.035
CELL_PARAMETERS angstrom
7.451 0.000 0.000
0.000 7.891 0.000
-7.322 0.000 10.470
```

Computed properties:
crystal system = monoclinic
density = 5.8 g cm⁻³
total magnetic moment = 2.00 μB/f.u.

---

The most stable of them is entry two.

---

Entry one
The following is a PBE calculation of an optimized crystal structure of TlWBr4, from Alexandria via LeMat-Bulk. Values from VASP.

Structure (Quantum ESPRESSO input):
```
&SYSTEM
  ibrav = 0, nat = 12, ntyp = 3
/
ATOMIC_SPECIES
Tl 204.38 Tl.upf
W 183.84 W.upf
Br 79.90 Br.upf
ATOMIC_POSITIONS crystal
Tl 0.052 0.215 0.155
Tl 0.948 0.785 0.845
W 0.308 0.499 0.501
W 0.692 0.501 0.499
Br 0.051 0.251 0.548
Br 0.257 0.548 0.193
Br 0.274 0.447 0.809
Br 0.435 0.809 0.440
Br 0.565 0.191 0.560
Br 0.726 0.553 0.191
Br 0.743 0.452 0.807
Br 0.949 0.749 0.452
CELL_PARAMETERS angstrom
6.956 0.000 0.000
1.450 7.411 0.000
0.069 3.070 8.057
```

Computed properties:
crystal system = triclinic
density = 5.7 g cm⁻³
total magnetic moment = 1.00 μB/f.u.

---

Entry two
The following is a PBE calculation of an optimized crystal structure of TlWBr4, from Alexandria via LeMat-Bulk. Values from VASP.

Structure (Quantum ESPRESSO input):
```
&SYSTEM
  ibrav = 0, nat = 6, ntyp = 3
/
ATOMIC_SPECIES
Tl 204.38 Tl.upf
W 183.84 W.upf
Br 79.90 Br.upf
ATOMIC_POSITIONS crystal
Tl 0.000 0.000 0.000
W 0.750 0.750 0.750
Br 0.376 0.376 0.376
Br 0.376 0.376 0.872
Br 0.376 0.872 0.376
Br 0.872 0.376 0.376
CELL_PARAMETERS angstrom
0.000 4.520 4.520
4.520 0.000 4.520
4.520 4.520 0.000
```

Computed properties:
crystal system = cubic
density = 6.4 g cm⁻³
total magnetic moment = 3.88 μB/f.u.

---

The most stable of them is entry one.